1.
Computed, not measured: an optimized crystal structure of Er2Mg8Sc at the GGA-PBE level of DFT.

Cell and atoms, written as POSCAR:
```
Er2Mg8Sc
1.0
8.007 -2.587 0.000
8.007 2.587 0.000
-3.578 0.000 6.679
Er Mg Sc
2 8 1
Direct
0.214 0.214 0.213
0.786 0.786 0.787
0.000 0.000 0.206
0.000 0.000 0.794
0.151 0.151 0.650
0.370 0.370 0.066
0.370 0.370 0.674
0.630 0.630 0.326
0.630 0.630 0.934
0.849 0.849 0.350
0.500 0.500 0.500
```

Volume   277 Å³/f.u.
Energy   -27.472 eV per formula unit
N(E_F)   8.69 states/eV/f.u.
Size of the total moment   0.00 μB/f.u.
ΔE_f   0.067 eV per atom

=====

2.
Computed, not measured: an optimized crystal structure of Nd3SbTe6 at the GGA-PBE level of DFT.

Cell and atoms, written as POSCAR:
```
Nd3SbTe6
1.0
6.102 -7.670 0.000
6.102 7.670 0.000
0.000 0.000 7.678
Nd Sb Te
6 2 12
Direct
0.093 0.907 0.500
0.221 0.418 0.619
0.418 0.221 0.119
0.582 0.779 0.619
0.779 0.582 0.119
0.907 0.093 0.000
0.323 0.677 0.130
0.677 0.323 0.630
0.068 0.596 0.332
0.128 0.204 0.306
0.204 0.128 0.806
0.265 0.735 0.760
0.404 0.932 0.332
0.495 0.505 0.375
0.505 0.495 0.875
0.596 0.068 0.832
0.735 0.265 0.260
0.796 0.872 0.306
0.872 0.796 0.806
0.932 0.404 0.832
```

Volume   359 Å³/f.u.
Energy   -47.888 eV per formula unit
Size of the total moment   0.00 μB/f.u.
Formation energy (no corrections)   -1.061 eV per atom

=====

3.
Computed, not measured: an optimized crystal structure of CeZr2TaN4 at the GGA-PBE level of DFT.

Cell and atoms, written as POSCAR:
```
CeZr2TaN4
1.0
1.637 -5.841 0.000
1.637 5.841 0.000
0.000 0.000 11.583
Ce Zr Ta N
2 4 2 8
Direct
0.113 0.887 0.750
0.887 0.113 0.250
0.370 0.630 0.533
0.370 0.630 0.967
0.630 0.370 0.033
0.630 0.370 0.467
0.151 0.849 0.250
0.849 0.151 0.750
0.000 0.000 0.000
0.000 0.000 0.500
0.260 0.740 0.116
0.260 0.740 0.384
0.460 0.540 0.750
0.540 0.460 0.250
0.740 0.260 0.616
0.740 0.260 0.884
```

Volume   111 Å³/f.u.
Energy   -78.408 eV per formula unit
N(E_F)   6.27 states/eV/f.u.
Size of the total moment   0.34 μB/f.u.
Formation energy (no corrections)   -1.278 eV per atom

=====

4.
Computed, not measured: an optimized crystal structure of Pr2Er7Sc at the GGA-PBE level of DFT.

Cell and atoms, written as POSCAR:
```
Pr2Er7Sc
1.0
3.228 -14.274 0.000
3.228 14.274 0.000
0.000 0.000 3.451
Pr Er Sc
2 7 1
Direct
0.207 0.793 0.000
0.793 0.207 0.000
0.000 0.000 0.000
0.162 0.352 0.000
0.317 0.683 0.500
0.352 0.162 0.000
0.648 0.838 0.000
0.683 0.317 0.500
0.838 0.648 0.000
0.500 0.500 0.500
```

Volume   318 Å³/f.u.
Energy   -46.118 eV per formula unit
N(E_F)   14.93 states/eV/f.u.
Size of the total moment   0.00 μB/f.u.
ΔE_f   0.171 eV per atom

=====

5.
Computed, not measured: an optimized crystal structure of Tb2NdRh at the GGA-PBE level of DFT.

Cell and atoms, written as POSCAR:
```
Tb2NdRh
1.0
7.233 0.000 0.000
0.000 9.606 0.000
0.000 0.000 6.438
Tb Nd Rh
8 4 4
Direct
0.176 0.065 0.170
0.176 0.435 0.170
0.324 0.565 0.670
0.324 0.935 0.670
0.676 0.065 0.330
0.676 0.435 0.330
0.824 0.565 0.830
0.824 0.935 0.830
0.034 0.250 0.638
0.466 0.750 0.138
0.534 0.250 0.862
0.966 0.750 0.362
0.118 0.750 0.928
0.382 0.250 0.428
0.618 0.750 0.572
0.882 0.250 0.072
```

Volume   112 Å³/f.u.
Energy   -23.325 eV per formula unit
N(E_F)   4.63 states/eV/f.u.
Size of the total moment   0.00 μB/f.u.
ΔE_f   -0.486 eV per atom

=====

6.
Computed, not measured: an optimized crystal structure of TcSb2Pt at the GGA-PBE level of DFT.

Cell and atoms, written as POSCAR:
```
TcSb2Pt
1.0
1.667 0.963 8.039
-1.667 0.963 8.039
0.000 -1.925 8.039
Tc Sb Pt
1 2 1
Direct
0.000 0.000 0.000
0.252 0.252 0.252
0.748 0.748 0.748
0.500 0.500 0.500
```

Volume   77 Å³/f.u.
Energy   -24.363 eV per formula unit
N(E_F)   3.90 states/eV/f.u.
Size of the total moment   0.00 μB/f.u.
Formation energy (no corrections)   0.072 eV per atom